Material: TlVPt6
Method: DFT, PBE
State: optimized geometry

Unit cell a=3.993 b=3.993 c=8.075 alpha=90.00 beta=90.00 gamma=90.00
Sites, in units of the cell vectors:
1 Tl 0.000 0.000 0.000
2 V 0.000 0.000 0.500
3 Pt 0.500 0.500 0.000
4 Pt 0.500 0.500 0.500
5 Pt 0.500 0.000 0.270
6 Pt 0.500 0.000 0.730
7 Pt 0.000 0.500 0.270
8 Pt 0.000 0.500 0.730

Computed properties:
ΔE_f ... -0.289 eV per atom
Total magnetic moment ... 0.50 μB per formula unit

---

Material: Pa2MnGe
Method: DFT, PBE
State: optimized geometry

Unit cell a=3.645 b=3.645 c=6.053 alpha=90.00 beta=90.00 gamma=90.00
Sites, in units of the cell vectors:
1 Ge 0.500 0.500 0.500
2 Pa 0.000 0.000 0.753
3 Pa 0.000 0.000 0.247
4 Mn 0.500 0.500 0.000

Computed properties:
Distance to the lowest polymorph of the same formula ... 0.198 eV/atom
ΔE_f ... -0.097 eV per atom
Total magnetic moment ... 0.20 μB per formula unit

---

Material: Nd8GaTe4Se3
Method: DFT, PBE
State: optimized geometry

Unit cell a=8.678 b=8.866 c=8.678 alpha=119.30 beta=120.00 gamma=90.00
Sites, in units of the cell vectors:
1 Nd 0.239 0.724 0.985
2 Nd 0.239 0.724 0.477
3 Nd 0.260 0.279 0.519
4 Nd 0.746 0.724 0.985
5 Nd 0.254 0.276 0.015
6 Nd 0.740 0.721 0.481
7 Nd 0.761 0.276 0.523
8 Nd 0.761 0.276 0.015
9 Ga 0.000 0.500 0.000
10 Te 0.500 0.000 0.000
11 Te 0.500 0.000 0.500
12 Te 0.000 0.000 0.000
13 Te 0.000 0.000 0.500
14 Se 0.500 0.500 0.000
15 Se 0.500 0.500 0.500
16 Se 0.000 0.500 0.500

Computed properties:
Total magnetic moment ... 0.00 μB per formula unit
Formation energy (no corrections) ... -24.2 eV per formula unit

---

Material: PmTlSb2
Method: DFT, PBE
State: optimized geometry

Unit cell a=4.408 b=4.408 c=8.320 alpha=74.64 beta=74.64 gamma=60.00
Sites, in units of the cell vectors:
1 Sb 0.254 0.254 0.237
2 Sb 0.746 0.746 0.763
3 Tl 0.500 0.500 0.500
4 Pm 0.000 0.000 0.000

Computed properties:
Distance to the lowest polymorph of the same formula ... 0.209 eV/atom
Total magnetic moment ... 0.00 μB per formula unit
Formation energy (no corrections) ... -1.3 eV per formula unit